Entry 1:
Ba2NF: optimized geometry, GGA-PBE.

Cell lengths 5.740, 5.740, 11.719 Å; angles 90.00, 90.00, 90.00 degrees
Space group I4_1/amd (No. 141, origin choice 2)
Inequivalent atoms, fractional coordinates:
Ba 0.000 0.250 0.104 x8
N 0.000 0.250 0.875 x4
F 0.000 0.250 0.375 x4

Formation energy (no corrections)   -1.670 eV per atom
Energy above the lowest structure with this stoichiometry   42 meV/atom

Entry 2:
Rb3BCl: optimized geometry, GGA-PBE.

Cell lengths 6.286, 6.286, 6.286 Å; angles 90.00, 90.00, 90.00 degrees
Space group Pm-3m (No. 221)
Inequivalent atoms, fractional coordinates:
Rb 0.000 0.000 0.500 x3
B 0.000 0.000 0.000 x1
Cl 0.500 0.500 0.500 x1

Fermi-level density of states   0.13 states/eV/cell
Formation energy (no corrections)   0.155 eV per atom
Energy above the lowest structure with this stoichiometry   0 meV/atom

Entry 3:
K2Cd12Sn5: optimized geometry, GGA-PBE.

Cell lengths 10.6675, 10.6675, 15.6682 Å; angles 90.00, 90.00, 120.00 degrees
Space group R-3m (No. 166, hexagonal axes)
Inequivalent atoms, fractional coordinates:
K 0.0000 0.0000 0.1692 x6
Cd 0.0000 0.3025 0.5000 x18
Cd 0.0210 0.5105 0.6453 x18
Sn 0.0000 0.0000 0.4040 x6
Sn 0.0000 0.5000 0.0000 x9

Fermi-level density of states   15.17 states/eV/cell

Entry 4:
LiZrBr2: optimized geometry, GGA-PBE.

Cell lengths 3.442, 3.363, 7.929 Å; angles 90.00, 98.04, 90.00 degrees
Space group P2/m (No. 10)
Inequivalent atoms, fractional coordinates:
Li 0.000 0.000 0.000 x1
Zr 0.500 0.000 0.500 x1
Br 0.430 0.500 0.213 x2

Fermi-level density of states   1.90 states/eV/cell
Formation energy (no corrections)   -0.742 eV per atom
Energy above the lowest structure with this stoichiometry   93 meV/atom

Entry 5:
KCrSi: optimized geometry, GGA-PBE.

Cell lengths 4.2071, 4.2071, 5.4682 Å; angles 90.00, 90.00, 120.00 degrees
Space group P-6m2 (No. 187)
Inequivalent atoms, fractional coordinates:
K 0.0000 0.0000 0.0000 x1
Cr 0.6667 0.3333 0.5000 x1
Si 0.3333 0.6667 0.5000 x1

Fermi-level density of states   1.60 states/eV/cell
Formation energy (no corrections)   0.468 eV per atom
Energy above the lowest structure with this stoichiometry   108 meV/atom

Entry 6:
TiCr2Ru: optimized geometry, GGA-PBE.

Cell lengths 6.834, 6.834, 4.941 Å; angles 90.00, 90.00, 90.00 degrees
Space group I-42d (No. 122)
Inequivalent atoms, fractional coordinates:
Ti 0.000 0.000 0.000 x4
Cr 0.230 0.750 0.625 x8
Ru 0.000 0.000 0.500 x4

Fermi-level density of states   23.57 states/eV/cell
Energy above the lowest structure with this stoichiometry   531 meV/atom

Entry 7:
BeReRh: optimized geometry, GGA-PBE.

Cell lengths 2.828, 5.005, 5.652 Å; angles 105.27, 90.05, 106.41 degrees
Space group P-1 (No. 2)
Inequivalent atoms, fractional coordinates:
Be 0.007 0.015 0.249 x2
Re 0.339 0.679 0.410 x2
Rh 0.352 0.702 0.923 x2

Fermi-level density of states   3.09 states/eV/cell
Energy above the lowest structure with this stoichiometry   28 meV/atom

Entry 8:
InSiSO2: optimized geometry, GGA-PBE.

Cell lengths 3.827, 3.827, 5.207 Å; angles 90.00, 90.00, 90.00 degrees
Space group P4/mmm (No. 123)
Inequivalent atoms, fractional coordinates:
In 0.000 0.000 0.000 x1
Si 0.500 0.500 0.000 x1
S 0.000 0.000 0.500 x1
O 0.000 0.500 0.500 x2

Fermi-level density of states   2.22 states/eV/cell
Formation energy (no corrections)   0.366 eV per atom

| no. | magnetic moment (μB per formula unit) | VASP energy (eV per atom) |
| --- | --- | --- |
| 1 | 0.00 | -5.18 |
| 2 | 3.00 | -2.13 |
| 3 | 0.00 | -1.78 |
| 4 | 0.00 | -4.19 |
| 5 | 3.00 | -4.91 |
| 6 | 0.00 | -8.61 |
| 7 | 0.00 | -8.09 |
| 8 | 0.00 | -4.07 |